1.
The following is a DFT calculation (GGA-PBEsol) of a geometry-optimized Tl2ZnMo structure.

The space group is Amm2 (No. 38) and the conventional cell measures 4.165, 3.603 and 10.610 Å, with angles of 90.00, 90.00 and 90.00 degrees. Symmetry generates all atoms from Tl at (0.000, 0.000, 0.000), Tl at (0.500, 0.000, 0.298), Zn at (0.000, 0.000, 0.718) and Mo at (0.500, 0.000, 0.570).

For the formation energy, the calculation gives 0.53 eV/atom.

---

2.
The following is a DFT calculation (GGA-PBEsol) of a geometry-optimized NaZn2CdF7 structure.

The space group is Imma (No. 74) and the conventional cell measures 7.227, 7.350 and 10.343 Å, with angles of 90.00, 90.00 and 90.00 degrees. Symmetry generates all atoms from Na at (0.250, 0.250, 0.250), Zn at (0.000, 0.000, 0.000), Zn at (0.250, 0.250, 0.750), Cd at (0.000, 0.000, 0.500), F at (0.000, 0.250, 0.077), F at (0.000, 0.250, 0.384), F at (0.000, 0.250, 0.663) and F at (0.217, 0.044, 0.877).

As for the energy relative to the elements, uncorrected: -227 kJ/mol of atoms.

---

3.
The following is a DFT calculation (GGA-PBEsol) of a geometry-optimized SrMo2W structure.

The space group is Pm (No. 6) and the conventional cell measures 2.910, 4.204 and 6.994 Å, with angles of 90.00, 101.55 and 90.00 degrees. Symmetry generates all atoms from Sr at (0.000, 0.000, 0.000), Mo at (0.202, 0.500, 0.663), Mo at (0.463, 0.000, 0.501) and W at (0.739, 0.500, 0.337).

For the formation energy, the calculation gives 0.81 eV/atom.

---

4.
The following is a DFT calculation (GGA-PBEsol) of a geometry-optimized CuNiAg2 structure.

The space group is F-43m (No. 216) and the conventional cell measures 6.046, 6.046 and 6.046 Å, with angles of 90.00, 90.00 and 90.00 degrees. Symmetry generates all atoms from Cu at (0.000, 0.000, 0.000), Ni at (0.250, 0.250, 0.250), Ag at (0.000, 0.000, 0.500) and Ag at (0.250, 0.250, 0.750).

For the formation energy, the calculation gives 0.23 eV/atom.

---

5.
The following is a DFT calculation (GGA-PBEsol) of a geometry-optimized TaNb2BiOs structure.

The space group is P4/mmm (No. 123) and the conventional cell measures 4.827, 4.827 and 4.969 Å, with angles of 90.00, 90.00 and 90.00 degrees. Symmetry generates all atoms from Ta at (0.000, 0.000, 0.000), Nb at (0.000, 0.500, 0.500), Bi at (0.500, 0.500, 0.000) and Os at (0.500, 0.500, 0.500).

For the formation energy, the calculation gives 1.58 eV/atom.

---

6.
The following is a DFT calculation (GGA-PBEsol) of a geometry-optimized Li2BeCdRh structure.

The space group is P4/mmm (No. 123) and the conventional cell measures 4.431, 4.431 and 5.068 Å, with angles of 90.00, 90.00 and 90.00 degrees. Symmetry generates all atoms from Li at (0.000, 0.500, 0.000), Be at (0.000, 0.000, 0.500), Cd at (0.500, 0.500, 0.500) and Rh at (0.500, 0.500, 0.000).

For the formation energy, the calculation gives 0.78 eV/atom.

---

7.
The following is a DFT calculation (GGA-PBEsol) of a geometry-optimized SmGa6 structure.

The space group is P4/nbm (No. 125, origin choice 2) and the conventional cell measures 5.888, 5.888 and 7.544 Å, with angles of 90.00, 90.00 and 90.00 degrees. Symmetry generates all atoms from Sm at (0.250, 0.750, 0.000), Ga at (0.068, 0.568, 0.352) and Ga at (0.250, 0.250, 0.162).

For the formation energy, the calculation gives -0.39 eV/atom.

---

8.
The following is a DFT calculation (GGA-PBEsol) of a geometry-optimized Mg2MoCCl structure.

The space group is P4/mmm (No. 123) and the conventional cell measures 5.270, 5.270 and 4.372 Å, with angles of 90.00, 90.00 and 90.00 degrees. Symmetry generates all atoms from Mg at (0.000, 0.500, 0.000), Mo at (0.000, 0.000, 0.000), C at (0.500, 0.500, 0.500) and Cl at (0.000, 0.000, 0.500).

As for the energy relative to the elements, uncorrected: 172 kJ/mol of atoms.